## FeTe2NF (GGA+U)

Data for FeTe2NF after structural relaxation.

Unit cell a=4.810 b=4.810 c=4.634 alpha=90.00 beta=90.00 gamma=90.00
Last column: magnetic moment on the atom in μB.
Positions (direct):
1 Te 0.500 0.000 0.000  0.06
2 Te 0.000 0.500 0.000  0.06
3 F 0.000 0.000 0.000  0.05
4 Fe 0.500 0.500 0.500  3.79
5 N 0.000 0.000 0.500  1.65

## Properties
* theoretical density: 5328 kg/m³
* E above lowest polymorph: 568 meV/atom
* symmetry: P4/mmm (123)
* total DFT energy (no corrections): -16.8 eV per cell
* M_tot: 1.327 μB per atom